[1]
A plane-wave DFT calculation with PBE-GGA was carried out for an optimized crystal structure of RbNaBiOs2.

POSCAR file:
```
RbNaBiOs2
1.0
-3.130 0.918 -3.834
-2.141 -5.611 0.404
-3.512 1.574 3.245
Na Os Bi Rb
1 2 1 1
Cartesian
-4.392 -1.560 -0.092 Na
-1.756 0.787 1.622 Os
-1.565 0.459 -1.917 Os
-1.071 -2.806 0.202 Bi
0.000 0.000 0.000 Rb
```

## Properties
Energy relative to the elements: 2.99 eV per atom
V: 152.5 Å³ per cell

[2]
A plane-wave DFT calculation with PBE-GGA was carried out for an optimized crystal structure of MgTi2Pd4.

POSCAR file:
```
MgTi2Pd4
1.0
-1.786 1.081 3.464
3.396 -3.185 2.745
3.167 4.372 0.269
Mg Ti Pd
1 2 4
Cartesian
2.388 1.134 3.239 Mg
3.349 -1.629 2.235 Ti
3.214 2.815 0.779 Ti
4.769 0.862 2.190 Pd
1.793 0.324 0.823 Pd
0.690 2.726 1.866 Pd
0.805 -1.052 3.105 Pd
```

## Properties
Energy relative to the elements: -0.37 eV per atom
E above lowest polymorph: 1.27 eV per formula unit
V: 117.7 Å³ per cell

[3]
A plane-wave DFT calculation with PBE-GGA was carried out for an optimized crystal structure of PaZnClO4.

POSCAR file:
```
PaZnClO4
1.0
6.196 0.219 -0.478
2.259 5.773 -0.478
1.180 0.836 6.572
Pa Zn Cl O
2 2 2 8
Cartesian
2.911 2.063 5.813 Pa
6.723 4.765 -0.196 Pa
5.961 4.225 3.973 Zn
3.674 2.604 1.644 Zn
0.524 0.371 1.590 Cl
9.111 6.457 4.026 Cl
3.437 2.436 3.576 O
6.197 4.392 2.040 O
2.072 3.120 0.584 O
5.234 3.710 1.141 O
6.004 5.907 5.032 O
3.630 0.922 0.584 O
4.401 3.119 4.475 O
7.563 3.709 5.032 O
```

## Properties
Formation energy from raw total energies: -2047 meV per atom
V: 236.5 Å³ per cell

[4]
A plane-wave DFT calculation with PBE-GGA was carried out for an optimized crystal structure of La3GaSn2Pd9.

POSCAR file:
```
La3GaSn2Pd9
1.0
6.876 0.000 0.000
-3.438 5.955 0.000
0.000 0.000 8.862
La Ga Sn Pd
3 1 2 9
Cartesian
0.000 3.970 6.476 La
0.000 0.000 0.000 La
3.438 1.985 2.386 La
0.000 0.000 4.431 Ga
0.000 3.970 1.807 Sn
3.438 1.985 7.055 Sn
5.525 0.780 6.367 Pd
3.438 4.395 6.367 Pd
1.351 0.780 6.367 Pd
2.087 5.175 2.495 Pd
0.000 1.560 2.495 Pd
-2.087 5.175 2.495 Pd
3.438 0.000 0.000 Pd
-1.719 2.978 0.000 Pd
1.719 2.978 0.000 Pd
```

## Properties
Energy relative to the elements: -0.53 eV per atom
V: 362.9 Å³ per cell

[5]
A plane-wave DFT calculation with PBE-GGA was carried out for an optimized crystal structure of CdB2Au.

POSCAR file:
```
CdB2Au
1.0
-0.521 -3.330 1.961
2.082 1.425 2.974
-5.761 1.950 5.657
B Au Cd
4 2 2
Cartesian
-1.636 -2.248 3.502 B
-0.595 -1.536 4.989 B
-4.256 0.392 5.350 B
-4.517 -1.274 6.330 B
0.000 0.000 0.000 Au
-2.751 -1.167 5.043 Au
0.780 -0.953 2.467 Cd
-1.449 1.211 5.549 Cd
```

## Properties
Energy relative to the elements: 0.80 eV per atom
V: 119.2 Å³ per cell

[6]
A plane-wave DFT calculation with PBE-GGA was carried out for an optimized crystal structure of K4Ba.

POSCAR file:
```
K4Ba
1.0
-2.993 2.993 10.274
2.993 -2.993 10.274
2.993 2.993 -10.274
K Ba
4 1
Cartesian
0.000 2.993 5.137 K
2.993 0.000 5.137 K
0.000 0.000 12.267 K
0.000 0.000 8.280 K
0.000 0.000 0.000 Ba
```

## Properties
Energy relative to the elements: 0.16 eV per atom
E above lowest polymorph: 0.58 eV per formula unit
V: 368.1 Å³ per cell

[7]
A plane-wave DFT calculation with PBE-GGA was carried out for an optimized crystal structure of ZrInCl2.

POSCAR file:
```
ZrInCl2
1.0
-0.790 1.489 -2.702
-3.069 -0.661 0.534
-1.098 9.662 5.645
Cl Zr In
2 1 1
Cartesian
-0.975 8.585 5.016 Cl
-0.671 5.908 3.452 Cl
-2.753 7.660 3.150 Zr
-2.204 2.830 0.327 In
```

## Properties
E above lowest polymorph: 0.62 eV per formula unit
Formation energy from raw total energies: -890 meV per atom
V: 114.0 Å³ per cell

[8]
A plane-wave DFT calculation with PBE-GGA was carried out for an optimized crystal structure of Pr4HoTm8.

POSCAR file:
```
Pr4HoTm8
1.0
-2.512 -5.131 5.276
2.699 -5.816 -4.400
6.849 0.437 3.657
Pr Ho Tm
4 1 8
Cartesian
2.169 -2.347 4.467 Pr
4.774 -2.690 -0.371 Pr
0.094 -5.474 0.438 Pr
0.000 0.000 0.000 Pr
3.518 -5.256 2.267 Ho
3.087 -5.537 -1.194 Tm
1.798 -8.216 1.550 Tm
3.949 -4.974 5.727 Tm
6.651 -5.329 0.711 Tm
5.344 -7.983 3.443 Tm
1.692 -2.528 1.090 Tm
0.386 -5.182 3.823 Tm
5.239 -2.295 2.984 Tm
```

## Properties
Energy relative to the elements: 0.53 eV per atom
V: 470.3 Å³ per cell

[9]
A plane-wave DFT calculation with PBE-GGA was carried out for an optimized crystal structure of MnAl2I6Br2.

POSCAR file:
```
MnAl2I6Br2
1.0
7.303 0.000 0.000
-3.652 6.324 0.000
0.000 0.000 10.535
Mn Al I Br
1 2 6 2
Cartesian
0.000 0.000 0.000 Mn
0.000 4.216 7.956 Al
3.651 2.108 2.579 Al
1.175 2.051 8.809 I
-2.462 4.281 8.809 I
1.287 6.316 8.809 I
2.477 4.273 1.726 I
6.114 2.043 1.726 I
2.364 0.008 1.726 I
0.000 4.216 5.691 Br
3.651 2.108 4.844 Br
```

## Properties
Formation energy from raw total energies: -661 meV per atom
V: 486.6 Å³ per cell

[10]
A plane-wave DFT calculation with PBE-GGA was carried out for an optimized crystal structure of Mn2ZnFeC.

POSCAR file:
```
Mn2ZnFeC
1.0
4.632 0.000 0.000
0.000 3.573 0.000
0.000 0.000 4.632
C Zn Mn Fe
1 1 2 1
Cartesian
0.000 1.786 0.000 C
2.316 1.786 2.316 Zn
0.000 0.000 2.316 Mn
2.316 0.000 0.000 Mn
0.000 0.000 0.000 Fe
```

## Properties
Energy relative to the elements: 1.00 eV per atom
E above lowest polymorph: 5.04 eV per formula unit
V: 76.7 Å³ per cell